DFT (GGA-PBE) results for an optimized crystal structure of LiCeNdSc.

a = 7.636 Å, b = 7.636 Å, c = 7.636 Å
α = 90.00°, β = 90.00°, γ = 90.00°
Space group F-43m (No. 216)
One atom of each set of equivalent atoms:
Li: 0.000 0.000 0.000 x4
Ce: 0.250 0.250 0.250 x4
Nd: 0.250 0.250 0.750 x4
Sc: 0.000 0.000 0.500 x4

Total magnetic moment   3.61 μB per cell
Density of states at the Fermi level   2.004 states/eV/atom
E_form   0.212 eV per atom
Total energy   -72.39 eV per cell